Entry 1:
Entry from Alexandria via LeMat-Bulk: Sm6Al3S14 after structural relaxation (PBE-GGA).

```
data_Sm6Al3S14
_chemical_formula_sum 'Sm6 Al3 S14'
_cell_length_a 9.7819
_cell_length_b 9.7819
_cell_length_c 6.1664
_cell_angle_alpha 90.00
_cell_angle_beta 90.00
_cell_angle_gamma 120.00
_space_group_name_H-M_alt 'P 3'
_space_group_IT_number 143
_space_group_name_Hall 'P 3'
loop_
_atom_site_label
_atom_site_fract_x
_atom_site_fract_y
_atom_site_fract_z
Sm1 0.0364 0.5518 0.0000
Sm2 0.2902 0.1084 0.5058
Al1 0.0000 0.0000 0.9303
Al2 0.3333 0.6667 0.4253
Al3 0.6667 0.3333 0.3155
S1 0.0000 0.0000 0.2920
S2 0.0946 0.8530 0.7804
S3 0.1909 0.4259 0.2736
S4 0.3333 0.6667 0.7883
S5 0.4315 0.1973 0.0965
S6 0.5271 0.4312 0.5572
```

***

Entry 2:
Entry from Alexandria via LeMat-Bulk: Sm2AlS4 after structural relaxation (PBE-GGA).

```
data_Sm2AlS4
_chemical_formula_sum 'Sm4 Al2 S8'
_cell_length_a 6.628
_cell_length_b 6.522
_cell_length_c 7.557
_cell_angle_alpha 90.00
_cell_angle_beta 106.78
_cell_angle_gamma 90.00
_space_group_name_H-M_alt 'P 1 21/m 1'
_space_group_IT_number 11
_space_group_name_Hall '-P 2yb'
loop_
_atom_site_label
_atom_site_fract_x
_atom_site_fract_y
_atom_site_fract_z
Sm1 0.222 0.250 0.058
Sm2 0.236 0.250 0.557
Al1 0.248 0.750 0.811
S1 0.005 0.003 0.748
S2 0.435 0.750 0.106
S3 0.435 0.750 0.610
```

***

Entry 3:
Entry from Alexandria via LeMat-Bulk: SmAlS2 after structural relaxation (PBE-GGA).

```
data_SmAlS2
_chemical_formula_sum 'Sm3 Al3 S6'
_cell_length_a 3.5967
_cell_length_b 3.5967
_cell_length_c 24.4638
_cell_angle_alpha 90.00
_cell_angle_beta 90.00
_cell_angle_gamma 120.00
_space_group_name_H-M_alt 'R -3 m'
_space_group_IT_number 166
_space_group_name_Hall '-R 3 2"'
loop_
_atom_site_label
_atom_site_fract_x
_atom_site_fract_y
_atom_site_fract_z
Sm1 0.0000 0.0000 0.0000
Al1 0.0000 0.0000 0.5000
S1 0.0000 0.0000 0.1134
```

***

Entry 4:
Entry from Alexandria via LeMat-Bulk: Sr2SmAlS5 after structural relaxation (PBE-GGA).

```
data_Sr2SmAlS5
_chemical_formula_sum 'Sr8 Sm4 Al4 S20'
_cell_length_a 3.987
_cell_length_b 17.967
_cell_length_c 12.465
_cell_angle_alpha 90.00
_cell_angle_beta 90.00
_cell_angle_gamma 90.00
_space_group_name_H-M_alt 'C m c 21'
_space_group_IT_number 36
_space_group_name_Hall 'C 2c -2'
loop_
_atom_site_label
_atom_site_fract_x
_atom_site_fract_y
_atom_site_fract_z
Sr1 0.000 0.114 0.000
Sr2 0.000 0.123 0.646
Sm1 0.000 0.207 0.347
Al1 0.000 0.445 0.745
S1 0.000 0.041 0.343
S2 0.000 0.295 0.998
S3 0.000 0.323 0.689
S4 0.000 0.356 0.326
S5 0.000 0.497 0.089
```

***

Entry 5:
Entry from Alexandria via LeMat-Bulk: SrSmAlS4 after structural relaxation (PBE-GGA).

```
data_SrSmAlS4
_chemical_formula_sum 'Sr2 Sm2 Al2 S8'
_cell_length_a 6.594
_cell_length_b 6.672
_cell_length_c 8.111
_cell_angle_alpha 90.00
_cell_angle_beta 107.22
_cell_angle_gamma 90.00
_space_group_name_H-M_alt 'P 1 21/m 1'
_space_group_IT_number 11
_space_group_name_Hall '-P 2yb'
loop_
_atom_site_label
_atom_site_fract_x
_atom_site_fract_y
_atom_site_fract_z
Sr1 0.243 0.250 0.436
Sm1 0.280 0.250 0.947
Al1 0.261 0.750 0.184
S1 0.061 0.750 0.910
S2 0.062 0.750 0.363
S3 0.497 0.003 0.235
```

***

Entry 6:
Entry from Alexandria via LeMat-Bulk: Sm3AlTl3S8 after structural relaxation (PBE-GGA).

```
data_Sm3AlTl3S8
_chemical_formula_sum 'Sm6 Al2 Tl6 S16'
_cell_length_a 13.923
_cell_length_b 8.038
_cell_length_c 8.696
_cell_angle_alpha 90.00
_cell_angle_beta 122.35
_cell_angle_gamma 90.00
_space_group_name_H-M_alt 'C 1 2/m 1'
_space_group_IT_number 12
_space_group_name_Hall '-C 2y'
loop_
_atom_site_label
_atom_site_fract_x
_atom_site_fract_y
_atom_site_fract_z
Sm1 0.000 0.000 0.000
Sm2 0.250 0.250 0.000
Al1 0.000 0.500 0.000
Tl1 0.000 0.500 0.500
Tl2 0.250 0.250 0.500
S1 0.011 0.276 0.810
S2 0.213 0.500 0.190
S3 0.236 0.000 0.208
```

***

Entry 7:
Entry from Alexandria via LeMat-Bulk: SmAlTl2S4 after structural relaxation (PBE-GGA).

```
data_SmAlTl2S4
_chemical_formula_sum 'Sm4 Al4 Tl8 S16'
_cell_length_a 7.877
_cell_length_b 8.529
_cell_length_c 11.620
_cell_angle_alpha 90.00
_cell_angle_beta 90.00
_cell_angle_gamma 90.00
_space_group_name_H-M_alt 'I m m a'
_space_group_IT_number 74
_space_group_name_Hall '-I 2b 2'
loop_
_atom_site_label
_atom_site_fract_x
_atom_site_fract_y
_atom_site_fract_z
Sm1 0.000 0.000 0.000
Al1 0.250 0.250 0.250
Tl1 0.000 0.000 0.500
Tl2 0.250 0.250 0.750
S1 0.000 0.057 0.242
S2 0.229 0.250 0.032
```

***

Entry 8:
Entry from Alexandria via LeMat-Bulk: Sm3AlTl4S8 after structural relaxation (PBE-GGA).

```
data_Sm3AlTl4S8
_chemical_formula_sum 'Sm9 Al3 Tl12 S24'
_cell_length_a 8.0283
_cell_length_b 8.0283
_cell_length_c 22.5460
_cell_angle_alpha 90.00
_cell_angle_beta 90.00
_cell_angle_gamma 120.00
_space_group_name_H-M_alt 'R -3 m'
_space_group_IT_number 166
_space_group_name_Hall '-R 3 2"'
loop_
_atom_site_label
_atom_site_fract_x
_atom_site_fract_y
_atom_site_fract_z
Sm1 0.0000 0.5000 0.0000
Al1 0.0000 0.0000 0.0000
Tl1 0.0000 0.0000 0.5000
Tl2 0.0000 0.5000 0.5000
S1 0.0000 0.0000 0.2649
S2 0.0297 0.5149 0.7301
```

***

Entry 9:
Entry from Alexandria via LeMat-Bulk: SmTm2AlS6 after structural relaxation (PBE-GGA).

```
data_SmTm2AlS6
_chemical_formula_sum 'Sm3 Tm6 Al3 S18'
_cell_length_a 6.7093
_cell_length_b 6.7093
_cell_length_c 17.9430
_cell_angle_alpha 90.00
_cell_angle_beta 90.00
_cell_angle_gamma 120.00
_space_group_name_H-M_alt 'R 3'
_space_group_IT_number 146
_space_group_name_Hall 'R 3'
loop_
_atom_site_label
_atom_site_fract_x
_atom_site_fract_y
_atom_site_fract_z
Sm1 0.0000 0.0000 0.0000
Tm1 0.0000 0.0000 0.2914
Tm2 0.0000 0.0000 0.7975
Al1 0.0000 0.0000 0.4912
S1 0.0020 0.3649 0.2269
S2 0.0040 0.7179 0.4014
```

***

Entry 10:
Entry from Alexandria via LeMat-Bulk: SmTmAl2S6 after structural relaxation (PBE-GGA).

```
data_SmTmAl2S6
_chemical_formula_sum 'Sm3 Tm3 Al6 S18'
_cell_length_a 6.4629
_cell_length_b 6.4629
_cell_length_c 19.0965
_cell_angle_alpha 90.00
_cell_angle_beta 90.00
_cell_angle_gamma 120.00
_space_group_name_H-M_alt 'R -3'
_space_group_IT_number 148
_space_group_name_Hall '-R 3'
loop_
_atom_site_label
_atom_site_fract_x
_atom_site_fract_y
_atom_site_fract_z
Sm1 0.0000 0.0000 0.0000
Tm1 0.0000 0.0000 0.5000
Al1 0.0000 0.0000 0.3264
S1 0.0075 0.6334 0.0730
```

***

Entry 11:
Entry from Alexandria via LeMat-Bulk: AlSnS2 after structural relaxation (PBE-GGA).

```
data_AlSnS2
_chemical_formula_sum 'Al4 Sn4 S8'
_cell_length_a 5.578
_cell_length_b 5.578
_cell_length_c 10.934
_cell_angle_alpha 90.00
_cell_angle_beta 90.00
_cell_angle_gamma 90.00
_space_group_name_H-M_alt 'I 41/a m d'
_space_group_IT_number 141
loop_
_space_group_symop_operation_xyz
'x,y,z'
'-x,-y,-z'
'-y+1/4,x+3/4,z+1/4'
'y+1/4,-x+3/4,-z+1/4'
'-x+1/2,-y,z+1/2'
'x+1/2,y,-z+1/2'
'y+1/4,-x+1/4,z+3/4'
'-y+1/4,x+1/4,-z+3/4'
'x,-y,-z'
'-x,y,z'
'-y+1/4,-x+1/4,-z+3/4'
'y+1/4,x+1/4,z+3/4'
'-x+1/2,y,-z+1/2'
'x+1/2,-y,z+1/2'
'y+1/4,x+3/4,-z+1/4'
'-y+1/4,-x+3/4,z+1/4'
'x+1/2,y+1/2,z+1/2'
'-x+1/2,-y+1/2,-z+1/2'
'-y+3/4,x+1/4,z+3/4'
'y+3/4,-x+1/4,-z+3/4'
'-x,-y+1/2,z'
'x,y+1/2,-z'
'y+3/4,-x+3/4,z+1/4'
'-y+3/4,x+3/4,-z+1/4'
'x+1/2,-y+1/2,-z+1/2'
'-x+1/2,y+1/2,z+1/2'
'-y+3/4,-x+3/4,-z+1/4'
'y+3/4,x+3/4,z+1/4'
'-x,y+1/2,-z'
'x,-y+1/2,z'
'y+3/4,x+1/4,-z+3/4'
'-y+3/4,-x+1/4,z+3/4'
loop_
_atom_site_label
_atom_site_fract_x
_atom_site_fract_y
_atom_site_fract_z
Al1 0.000 0.250 0.375
Sn1 0.000 0.250 0.875
S1 0.000 0.250 0.152
```

***

Entry 12:
Entry from Alexandria via LeMat-Bulk: AlSn4S6 after structural relaxation (PBE-GGA).

```
data_AlSn4S6
_chemical_formula_sum 'Al4 Sn16 S24'
_cell_length_a 15.750
_cell_length_b 7.074
_cell_length_c 13.123
_cell_angle_alpha 90.00
_cell_angle_beta 122.06
_cell_angle_gamma 90.00
_space_group_name_H-M_alt 'C 1 c 1'
_space_group_IT_number 9
_space_group_name_Hall 'C -2yc'
loop_
_atom_site_label
_atom_site_fract_x
_atom_site_fract_y
_atom_site_fract_z
Al1 0.000 0.229 0.000
Sn1 0.053 0.291 0.580
Sn2 0.240 0.426 0.928
Sn3 0.276 0.106 0.234
Sn4 0.441 0.351 0.725
S1 0.007 0.484 0.902
S2 0.065 0.017 0.453
S3 0.095 0.252 0.202
S4 0.249 0.266 0.752
S5 0.337 0.256 0.448
S6 0.410 0.306 0.119
```

***

VASP energy for every record listed, in sequence, given in eV/cell: -136.02, -81.81, -61.47, -196.10, -77.76, -153.76, -149.96, -240.69, -178.54, -169.11, -70.10, -199.64.
D(E_F) for every record listed, in sequence, given in states/eV per cell: 11.023, 4.221, 5.662, 0.000, 0.000, 10.598, 1.675, 0.459, 0.000, 0.000, 5.894, 21.083.